# 1
Entry from Alexandria: a relaxed structure of Ir4Os2Rh (GGA-PBE).

Calculated values
Relative energy among the computed polymorphs ... 0.000 eV/atom
Energy ... -9.1186 eV/atom
Crystal system ... orthorhombic

The structure in extended XYZ format:
```
7
Lattice="2.684 0.000 -0.354 0.000 3.833 0.000 0.011 0.000 10.428" Properties=species:S:1:pos:R:3 pbc="T T T"
Ir 2.513 1.916 8.696
Ir 1.712 0.000 2.632
Ir 0.182 1.916 1.378
Ir 0.982 0.000 7.442
Os 2.159 1.916 6.019
Os 0.535 1.916 4.055
Rh 1.342 0.000 -0.177
```

=====

# 2
Entry from Alexandria: a relaxed structure of IrOs2Rh (GGA-PBE).

Calculated values
Relative energy among the computed polymorphs ... 0.666 eV/atom
Energy ... -8.9554 eV/atom
Crystal system ... cubic

The structure in extended XYZ format:
```
4
Lattice="0.000 3.094 3.094 3.094 0.000 3.094 3.094 3.094 0.000" Properties=species:S:1:pos:R:3 pbc="T T T"
Rh 0.000 0.000 0.000
Ir 3.094 3.094 3.094
Os 1.547 1.547 1.547
Os 4.641 4.641 4.641
```

=====

# 3
Entry from Alexandria: a relaxed structure of IrOsRh2 (GGA-PBE).

Calculated values
Relative energy among the computed polymorphs ... 1.182 eV/atom
Energy ... -7.5083 eV/atom
Crystal system ... tetragonal

The structure in extended XYZ format:
```
8
Lattice="5.568 0.000 0.000 0.000 5.568 0.000 2.784 2.784 5.468" Properties=species:S:1:pos:R:3 pbc="T T T"
Rh 4.147 1.392 1.367
Rh 1.421 4.176 1.367
Rh 4.176 4.205 4.101
Rh 6.960 6.931 4.101
Ir 0.000 0.000 0.000
Ir 5.568 2.784 2.734
Os 2.784 2.784 0.000
Os 2.784 5.568 2.734
```